Density functional theory data (PBE) for a relaxed NbGa2Pb2 crystal.

Structure (POSCAR):
```
NbGa2Pb2
1.0
3.6281 0.0000 0.0000
0.0000 3.6281 0.0000
0.0000 0.0000 18.4423
Nb Ga Pb
2 4 4
Cartesian
0.0000 0.0000 0.0000 Nb
1.8140 1.8140 9.2212 Nb
0.0000 1.8140 4.6106 Ga
0.0000 1.8140 13.8318 Ga
1.8140 0.0000 4.6106 Ga
1.8140 0.0000 13.8318 Ga
0.0000 0.0000 7.4717 Pb
0.0000 0.0000 10.9707 Pb
1.8140 1.8140 1.7495 Pb
1.8140 1.8140 16.6928 Pb
```

Values from the calculation:
Magnetization   3.13 μB per cell
DFT total energy   -21.55 eV/f.u.

Density functional theory data (PBE) for a relaxed Nb2Ga4Pb crystal.

Structure (POSCAR):
```
Nb2Ga4Pb
1.0
5.3090 0.0000 0.0000
0.0000 5.3090 0.0000
0.0000 0.0000 13.6669
Nb Ga Pb
4 8 2
Cartesian
0.0000 0.0000 1.1633 Nb
0.0000 0.0000 12.5036 Nb
2.6545 2.6545 5.6701 Nb
2.6545 2.6545 7.9968 Nb
0.0000 0.0000 3.9329 Ga
0.0000 0.0000 9.7340 Ga
0.0000 2.6545 0.0000 Ga
0.0000 2.6545 6.8335 Ga
2.6545 0.0000 0.0000 Ga
2.6545 0.0000 6.8335 Ga
2.6545 2.6545 2.9005 Ga
2.6545 2.6545 10.7664 Ga
0.0000 0.0000 6.8335 Pb
2.6545 2.6545 0.0000 Pb
```

Values from the calculation:
Magnetization   0.00 μB per cell
DFT total energy   -30.38 eV/f.u.

Density functional theory data (PBE) for a relaxed NbGaPb3 crystal.

Structure (POSCAR):
```
NbGaPb3
1.0
5.5329 0.0000 0.0000
0.0000 5.5329 0.0000
0.0000 0.0000 5.5329
Nb Ga Pb
1 1 3
Cartesian
0.0000 0.0000 0.0000 Nb
2.7665 2.7665 2.7665 Ga
0.0000 0.0000 2.7665 Pb
0.0000 2.7665 0.0000 Pb
2.7665 0.0000 0.0000 Pb
```

Values from the calculation:
Magnetization   0.00 μB per cell
DFT total energy   -21.79 eV/f.u.

Density functional theory data (PBE) for a relaxed NbGa2Pb crystal.

Structure (POSCAR):
```
NbGa2Pb
1.0
7.8055 0.0000 0.0000
0.0000 7.8055 0.0000
0.0000 0.0000 5.7802
Nb Ga Pb
4 8 4
Cartesian
0.0000 0.0000 0.0000 Nb
0.0000 3.9028 1.4450 Nb
3.9028 0.0000 4.3351 Nb
3.9028 3.9028 2.8901 Nb
1.7041 1.9514 0.7225 Ga
1.9514 5.6069 2.1676 Ga
1.9514 6.1014 5.0577 Ga
2.1986 1.9514 3.6126 Ga
5.6069 5.8542 3.6126 Ga
5.8542 1.7041 5.0577 Ga
5.8542 2.1986 2.1676 Ga
6.1014 5.8542 0.7225 Ga
0.0000 0.0000 2.8901 Pb
0.0000 3.9028 4.3351 Pb
3.9028 0.0000 1.4450 Pb
3.9028 3.9028 0.0000 Pb
```

Values from the calculation:
Magnetization   0.00 μB per cell
DFT total energy   -18.29 eV/f.u.

Density functional theory data (PBE) for a relaxed NbGa2PdPb crystal.

Structure (POSCAR):
```
NbGa2PdPb
1.0
5.2109 0.0000 0.0000
0.0000 5.2109 0.0000
0.0000 0.0000 5.4769
Nb Ga Pd Pb
1 2 1 1
Cartesian
0.0000 0.0000 0.0000 Nb
0.0000 2.6055 2.7384 Ga
2.6055 0.0000 2.7384 Ga
2.6055 2.6055 0.0000 Pd
0.0000 0.0000 2.7384 Pb
```

Values from the calculation:
Magnetization   2.75 μB per cell
DFT total energy   -17.76 eV/f.u.

Density functional theory data (PBE) for a relaxed NbGaPbS2 crystal.

Structure (POSCAR):
```
NbGaPbS2
1.0
4.7922 0.0000 0.0000
0.0000 4.7922 0.0000
0.0000 0.0000 5.2601
Nb Ga Pb S
1 1 1 2
Cartesian
0.0000 0.0000 0.0000 Nb
0.0000 0.0000 2.6301 Ga
2.3961 2.3961 2.6301 Pb
0.0000 2.3961 0.0000 S
2.3961 0.0000 0.0000 S
```

Values from the calculation:
Magnetization   0.00 μB per cell
Formation energy (no corrections)   -164.8 meV/atom
DFT total energy   -25.88 eV/f.u.

Density functional theory data (PBE) for a relaxed Nb2GaPbW crystal.

Structure (POSCAR):
```
Nb2GaPbW
1.0
5.1595 0.0000 0.0000
0.0000 5.1595 0.0000
0.0000 0.0000 4.7058
Nb Ga Pb W
2 1 1 1
Cartesian
0.0000 2.5797 0.0000 Nb
2.5797 0.0000 0.0000 Nb
0.0000 0.0000 2.3529 Ga
0.0000 0.0000 0.0000 Pb
2.5797 2.5797 2.3529 W
```

Values from the calculation:
Magnetization   0.00 μB per cell
DFT total energy   -27.56 eV/f.u.

Density functional theory data (PBE) for a relaxed Nb2GaPbW crystal.

Structure (POSCAR):
```
Nb2GaPbW
1.0
4.9294 0.0000 0.0000
0.0000 4.9294 0.0000
0.0000 0.0000 5.3208
Nb Ga Pb W
2 1 1 1
Cartesian
0.0000 2.4647 0.0000 Nb
2.4647 0.0000 0.0000 Nb
0.0000 0.0000 2.6604 Ga
2.4647 2.4647 2.6604 Pb
2.4647 2.4647 0.0000 W
```

Values from the calculation:
Magnetization   0.00 μB per cell
DFT total energy   -33.21 eV/f.u.

Density functional theory data (PBE) for a relaxed NbGa2Pd crystal.

Structure (POSCAR):
```
NbGa2Pd
1.0
4.1292 0.0000 0.0000
0.0000 4.1292 0.0000
0.0000 0.0000 3.7342
Nb Ga Pd
1 2 1
Cartesian
0.0000 0.0000 0.0000 Nb
0.0000 2.0646 1.8671 Ga
2.0646 0.0000 1.8671 Ga
2.0646 2.0646 0.0000 Pd
```

Values from the calculation:
Magnetization   0.00 μB per cell
DFT total energy   -22.98 eV/f.u.

Density functional theory data (PBE) for a relaxed NbGa2Pd crystal.

Structure (POSCAR):
```
NbGa2Pd
1.0
7.0149 0.0000 0.0000
0.0000 7.0149 0.0000
0.0000 0.0000 5.6554
Nb Ga Pd
4 8 4
Cartesian
0.0000 0.0000 0.0000 Nb
0.0000 3.5075 1.4139 Nb
3.5075 0.0000 4.2416 Nb
3.5075 3.5075 2.8277 Nb
1.5985 1.7537 3.5346 Ga
1.7537 5.1059 4.9485 Ga
1.7537 5.4164 2.1208 Ga
1.9090 1.7537 0.7069 Ga
5.1059 5.2612 0.7069 Ga
5.2612 1.5985 2.1208 Ga
5.2612 1.9090 4.9485 Ga
5.4164 5.2612 3.5346 Ga
0.0000 0.0000 2.8277 Pd
0.0000 3.5075 4.2416 Pd
3.5075 0.0000 1.4139 Pd
3.5075 3.5075 0.0000 Pd
```

Values from the calculation:
Magnetization   0.00 μB per cell
DFT total energy   -21.75 eV/f.u.

Density functional theory data (PBE) for a relaxed Nb5Ga2Pd12 crystal.

Structure (POSCAR):
```
Nb5Ga2Pd12
1.0
7.5456 -2.6648 0.0000
7.5456 2.6648 0.0000
-2.5167 0.0000 8.5131
Nb Ga Pd
5 2 12
Cartesian
0.0000 0.0000 0.0000 Nb
4.4048 0.0000 1.2099 Nb
3.9663 0.0000 5.4319 Nb
8.6083 0.0000 3.0812 Nb
8.1698 0.0000 7.3032 Nb
6.2873 1.3141 4.2566 Ga
6.2873 -1.3141 4.2566 Ga
3.5282 1.3759 3.2928 Pd
-0.6902 0.0000 6.5603 Pd
2.9160 1.3289 7.6184 Pd
9.6586 1.3289 0.8947 Pd
9.0464 1.3759 5.2203 Pd
6.9767 0.0000 1.2037 Pd
5.5979 0.0000 7.3094 Pd
3.5282 -1.3759 3.2928 Pd
2.9160 -1.3289 7.6184 Pd
9.6586 -1.3289 0.8947 Pd
13.2648 0.0000 1.9528 Pd
9.0464 -1.3759 5.2203 Pd
```

Values from the calculation:
Magnetization   0.00 μB per cell
DFT total energy   -119.67 eV/f.u.

Density functional theory data (PBE) for a relaxed NbGa2Pd crystal.

Structure (POSCAR):
```
NbGa2Pd
1.0
2.9451 0.0000 0.0000
0.0000 2.9451 0.0000
0.0000 0.0000 7.2976
Nb Ga Pd
1 2 1
Cartesian
0.0000 0.0000 0.0000 Nb
1.4726 1.4726 1.9632 Ga
1.4726 1.4726 5.3344 Ga
0.0000 0.0000 3.6488 Pd
```

Values from the calculation:
Magnetization   0.00 μB per cell
DFT total energy   -22.99 eV/f.u.